# 1
A relaxed Zr2MoPdPt crystal, computed with PBE-GGA.

Unit cell a=4.8865 b=4.8899 c=4.8865 alpha=90.00 beta=90.00 gamma=90.00
Last column: nearest neighbours and their distance in Å.
Element x y z (fractional)
Zr1 0.0000 0.0000 0.5000  2 Pd 2.44
Zr2 0.5000 0.0000 0.0000  2 Pd 2.44
Mo1 0.5000 0.5000 0.5000  4 Pt 3.46, 8 Zr 3.46
Pd1 0.0000 0.0000 0.0000  4 Zr 2.44, 2 Pt 2.44
Pt1 0.0000 0.5000 0.0000  2 Pd 2.44

**SG**: P4/mmm, No. 123
**E_form**: 0.94 eV per atom

# 2
A relaxed Pu2MoPd crystal, computed with PBE-GGA.

Unit cell a=3.3267 b=4.9600 c=4.9600 alpha=90.00 beta=90.00 gamma=90.00
Last column: nearest neighbours and their distance in Å.
Element x y z (fractional)
Mo1 0.5000 0.0000 0.0000  8 Pu 2.99, 2 Mo 3.33
Pd1 0.5000 0.5000 0.5000  8 Pu 2.99, 2 Pd 3.33
Pu1 0.0000 0.0000 0.5000  4 Mo 2.99, 4 Pd 2.99, 2 Pu 3.33
Pu2 0.0000 0.5000 0.0000  4 Pd 2.99, 4 Mo 2.99, 2 Pu 3.33

**SG**: P4/mmm, No. 123
**Energy above the most stable polymorph in this dataset**: 0.0 kJ/mol of atoms
**E_form**: 0.03 eV per atom

# 3
A relaxed Pu2MoPd crystal, computed with PBE-GGA.

Unit cell a=2.5616 b=2.5616 c=10.3444 alpha=90.00 beta=90.00 gamma=90.00
Last column: nearest neighbours and their distance in Å.
Element x y z (fractional)
Mo1 0.5000 0.5000 0.0000  4 Mo 2.56
Pd1 0.5000 0.5000 0.5000  4 Pd 2.56
Pu1 0.0000 0.0000 0.7438  4 Pu 2.56
Pu2 0.0000 0.0000 0.2562  4 Pu 2.56

**SG**: P4/mmm, No. 123
**Energy above the most stable polymorph in this dataset**: 38.4 kJ/mol of atoms
**E_form**: 0.43 eV per atom

# 4
A relaxed PuTiMoPd crystal, computed with PBE-GGA.

Unit cell a=4.6544 b=4.6544 c=4.6544 alpha=60.00 beta=60.00 gamma=60.00
Last column: nearest neighbours and their distance in Å.
Element x y z (fractional)
Mo1 0.5000 0.5000 0.5000  4 Pu 2.85, 4 Ti 2.85
Ti1 0.7500 0.7500 0.7500  4 Mo 2.85, 4 Pd 2.85
Pd1 0.0000 0.0000 0.0000  4 Ti 2.85, 4 Pu 2.85
Pu1 0.2500 0.2500 0.2500  4 Pd 2.85, 4 Mo 2.85

**SG**: F-43m, No. 216
**E_form**: -0.11 eV per atom

# 5
A relaxed Rb2MoPd crystal, computed with PBE-GGA.

Unit cell a=12.8304 b=12.8304 c=9.4078 alpha=47.01 beta=47.01 gamma=90.00
Last column: nearest neighbours and their distance in Å.
Element x y z (fractional)
Mo1 0.5000 0.5000 0.0000  2 Pd 2.49
Mo2 0.2500 0.7500 0.5000  2 Pd 2.49
Rb1 0.7963 0.1250 0.2500  2 Pd 3.42
Rb2 0.9537 0.6250 0.2500  2 Pd 3.42
Rb3 0.3750 0.2037 0.7500  2 Pd 3.42
Rb4 0.8750 0.0463 0.7500  2 Pd 3.42
Pd1 0.0000 0.0000 0.0000  2 Mo 2.49
Pd2 0.7500 0.2500 0.5000  2 Mo 2.49

**SG**: I-42d, No. 122
**Energy above the most stable polymorph in this dataset**: 0.0 kJ/mol of atoms
**E_form**: 1.05 eV per atom

# 6
A relaxed RbMo3Pd crystal, computed with PBE-GGA.

Unit cell a=4.9846 b=4.9846 c=4.9846 alpha=90.00 beta=90.00 gamma=90.00
Last column: nearest neighbours and their distance in Å.
Element x y z (fractional)
Mo1 0.0000 0.5000 0.0000  2 Pd 2.49
Mo2 0.0000 0.0000 0.5000  2 Pd 2.49
Mo3 0.5000 0.0000 0.0000  2 Pd 2.49
Rb1 0.5000 0.5000 0.5000  12 Mo 3.52
Pd1 0.0000 0.0000 0.0000  6 Mo 2.49

**SG**: Pm-3m, No. 221
**Energy above the most stable polymorph in this dataset**: 0.0 kJ/mol of atoms
**E_form**: 2.15 eV per atom

# 7
A relaxed Rb2MoPd crystal, computed with PBE-GGA.

Unit cell a=5.9101 b=5.9101 c=5.9101 alpha=60.00 beta=60.00 gamma=60.00
Last column: nearest neighbours and their distance in Å.
Element x y z (fractional)
Mo1 0.0000 0.0000 0.0000  8 Rb 3.62
Rb1 0.2500 0.2500 0.2500  4 Pd 3.62, 4 Mo 3.62
Rb2 0.7500 0.7500 0.7500  4 Pd 3.62, 4 Mo 3.62
Pd1 0.5000 0.5000 0.5000  8 Rb 3.62

**SG**: Fm-3m, No. 225
**Energy above the most stable polymorph in this dataset**: 33.4 kJ/mol of atoms
**E_form**: 1.39 eV per atom

# 8
A relaxed RbMo3Pd crystal, computed with PBE-GGA.

Unit cell a=4.6216 b=4.6216 c=4.6216 alpha=90.00 beta=90.00 gamma=90.00
Last column: nearest neighbours and their distance in Å.
Element x y z (fractional)
Mo1 0.0000 0.5000 0.0000  2 Rb 2.31
Mo2 0.0000 0.0000 0.5000  2 Rb 2.31
Mo3 0.5000 0.0000 0.0000  2 Rb 2.31
Rb1 0.0000 0.0000 0.0000  6 Mo 2.31
Pd1 0.5000 0.5000 0.5000  12 Mo 3.27

**SG**: Pm-3m, No. 221
**Energy above the most stable polymorph in this dataset**: 97.1 kJ/mol of atoms
**E_form**: 3.15 eV per atom

# 9
A relaxed Rb2MoPdS4 crystal, computed with PBE-GGA.

Unit cell a=5.6263 b=7.4158 c=12.2881 alpha=85.02 beta=76.77 gamma=67.71
Last column: nearest neighbours and their distance in Å.
Element x y z (fractional)
Rb1 0.1769 0.0000 0.6461  8 S 3.42-3.71
Rb2 0.8231 0.0000 0.3539  8 S 3.42-3.71
Rb3 0.5731 0.5000 0.8539  8 S 3.42-3.71
Rb4 0.9269 0.5000 0.1461  8 S 3.42-3.71
Mo1 0.2500 0.5000 0.5000  4 S 2.25
Mo2 0.5000 0.0000 0.0000  4 S 2.25
Pd1 0.7500 0.5000 0.5000  4 S 2.43
Pd2 0.0000 0.0000 0.0000  4 S 2.43
S1 0.3189 0.8056 0.1092  1 Mo 2.25, 1 Pd 2.43
S2 0.2337 0.1944 0.8908  1 Mo 2.25, 1 Pd 2.43
S3 0.8755 0.8056 0.8908  1 Mo 2.25, 1 Pd 2.43
S4 0.5719 0.1944 0.1092  1 Mo 2.25, 1 Pd 2.43
S5 0.4311 0.6944 0.3908  1 Mo 2.25, 1 Pd 2.43
S6 0.5163 0.3056 0.6092  1 Mo 2.25, 1 Pd 2.43
S7 0.8745 0.6944 0.6092  1 Mo 2.25, 1 Pd 2.43
S8 0.1781 0.3056 0.3908  1 Mo 2.25, 1 Pd 2.43

**SG**: Fddd, No. 70
**Formation energy from raw total energies**: -888 meV per atom

# 10
A relaxed Rb2MoPdW crystal, computed with PBE-GGA.

Unit cell a=6.6357 b=4.7283 c=6.6357 alpha=90.00 beta=90.00 gamma=90.00
Last column: nearest neighbours and their distance in Å.
Element x y z (fractional)
Rb1 0.0000 0.0000 0.5000  2 Mo 3.32
Rb2 0.5000 0.0000 0.0000  2 Mo 3.32
Mo1 0.0000 0.0000 0.0000  2 Pd 2.36
Pd1 0.0000 0.5000 0.0000  2 Mo 2.36
W1 0.5000 0.5000 0.5000  8 Rb 4.07

**SG**: P4/mmm, No. 123
**E_form**: 2.44 eV per atom

# 11
A relaxed ReMoPd2 crystal, computed with PBE-GGA.

Unit cell a=2.7549 b=2.7549 c=9.3697 alpha=81.55 beta=81.55 gamma=60.00
Last column: nearest neighbours and their distance in Å.
Element x y z (fractional)
Re1 0.0000 0.0000 0.0000  6 Re 2.75, 6 Pd 2.79
Mo1 0.5000 0.5000 0.5000  6 Mo 2.75, 6 Pd 2.82
Pd1 0.7495 0.7495 0.7515  6 Pd 2.75, 3 Re 2.79, 3 Mo 2.82
Pd2 0.2505 0.2505 0.2485  6 Pd 2.75, 3 Re 2.79, 3 Mo 2.82

**SG**: R-3m, No. 166
**Energy above the most stable polymorph in this dataset**: 0.0 kJ/mol of atoms
**E_form**: 0.13 eV per atom

# 12
A relaxed ReMoPd2 crystal, computed with PBE-GGA.

Unit cell a=7.1295 b=7.1295 c=5.6789 alpha=51.12 beta=51.12 gamma=90.00
Last column: nearest neighbours and their distance in Å.
Element x y z (fractional)
Re1 0.0000 0.0000 0.0000  4 Pd 2.58, 2 Mo 2.61
Re2 0.7500 0.2500 0.5000  4 Pd 2.58, 2 Mo 2.61
Mo1 0.5000 0.5000 0.0000  2 Re 2.61, 4 Pd 2.63
Mo2 0.2500 0.7500 0.5000  2 Re 2.61, 4 Pd 2.63
Pd1 0.6299 0.1250 0.2500  2 Re 2.58, 2 Pd 2.62, 2 Mo 2.63
Pd2 0.1201 0.6250 0.2500  2 Re 2.58, 2 Pd 2.62, 2 Mo 2.63
Pd3 0.3750 0.3701 0.7500  2 Re 2.58, 2 Pd 2.62, 2 Mo 2.63
Pd4 0.8750 0.8799 0.7500  2 Re 2.58, 2 Pd 2.62, 2 Mo 2.63

**SG**: I-42d, No. 122
**Energy above the most stable polymorph in this dataset**: 62.2 kJ/mol of atoms
**E_form**: 0.78 eV per atom

# 13
A relaxed Re2MoPd crystal, computed with PBE-GGA.

Unit cell a=4.4289 b=4.4289 c=4.4289 alpha=60.00 beta=60.00 gamma=60.00
Last column: nearest neighbours and their distance in Å.
Element x y z (fractional)
Re1 0.2500 0.2500 0.2500  4 Pd 2.71, 4 Mo 2.71
Re2 0.7500 0.7500 0.7500  4 Pd 2.71, 4 Mo 2.71
Mo1 0.0000 0.0000 0.0000  8 Re 2.71
Pd1 0.5000 0.5000 0.5000  8 Re 2.71

**SG**: Fm-3m, No. 225
**Energy above the most stable polymorph in this dataset**: 30.3 kJ/mol of atoms
**E_form**: 0.38 eV per atom

Magnetization / μB per atom: 0.54 2.26 0.00 1.06 1.12 0.98 1.43 0.00 0.00 0.83 0.00 0.00 0.00
Uncorrected energy / eV per atom: -6.892 -11.140 -10.742 -9.674 -3.442 -5.584 -3.096 -4.577 -5.196 -3.747 -8.282 -7.638 -9.854
Theoretical density / Mg/m³: 8.247 14.007 16.888 11.511 3.025 6.432 4.246 8.070 3.607 4.444 13.543 12.370 15.538